1.
VASP calculation (meta-GGA SCAN) on a PBEsol-optimized structure of KCa2Pb.

Lattice parameters (Å, degrees): 3.8876 3.8893 10.5828 90.00 90.00 90.00
Closest atoms and distances in Å follow each position.
Atoms (fractional coordinates):
Ca (0.0000, 0.0000, 0.6740)  4 Pb 3.31, 1 Ca 3.68
Ca (0.0000, 0.0000, 0.3260)  4 Pb 3.31, 1 Ca 3.68
K (0.5000, 0.5000, 0.0000)  4 K 3.89
Pb (0.5000, 0.5000, 0.5000)  8 Ca 3.31

Properties
SG ... No. 123

2.
VASP calculation (meta-GGA SCAN) on a PBEsol-optimized structure of KCa2Pb.

Lattice parameters (Å, degrees): 5.2332 5.2332 6.1999 114.96 114.96 90.00
Closest atoms and distances in Å follow each position.
Atoms (fractional coordinates):
Ca (0.0000, 0.0000, 0.0000)  4 Pb 3.61, 4 Ca 3.61, 4 K 3.70
Ca (0.7500, 0.2500, 0.5000)  4 K 3.61, 4 Ca 3.61, 4 Pb 3.70
K (0.5000, 0.5000, 0.0000)  4 Pb 3.61, 8 Ca 3.61-3.70
Pb (0.2500, 0.7500, 0.5000)  4 K 3.61, 8 Ca 3.61-3.70

Properties
SG ... No. 119

3.
VASP calculation (meta-GGA SCAN) on a PBEsol-optimized structure of K2CaPb.

Lattice parameters (Å, degrees): 3.7977 3.7977 11.8157 90.00 90.00 90.06
Closest atoms and distances in Å follow each position.
Atoms (fractional coordinates):
Ca (0.5000, 0.5000, 0.0000)  4 Ca 3.80
K (0.0000, 0.0000, 0.2922)  4 Pb 3.64, 4 K 3.80
K (0.0000, 0.0000, 0.7078)  4 Pb 3.64, 4 K 3.80
Pb (0.5000, 0.5000, 0.5000)  8 K 3.64, 4 Pb 3.80

Properties
SG ... No. 123

4.
VASP calculation (meta-GGA SCAN) on a PBEsol-optimized structure of K2CaPb.

Lattice parameters (Å, degrees): 3.8942 6.0805 6.7697 90.00 90.00 90.00
Closest atoms and distances in Å follow each position.
Atoms (fractional coordinates):
Ca (0.5000, 0.5000, 0.5000)  2 Pb 3.38
K (0.0000, 0.0000, 0.7733)  1 K 3.07
K (0.0000, 0.0000, 0.2267)  1 K 3.07
Pb (0.5000, 0.5000, 0.0000)  2 Ca 3.38

Properties
SG ... No. 47

5.
VASP calculation (meta-GGA SCAN) on a PBEsol-optimized structure of K2CaPb.

Lattice parameters (Å, degrees): 5.0068 5.0068 6.9553 111.10 111.10 90.00
Closest atoms and distances in Å follow each position.
Atoms (fractional coordinates):
Ca (0.0000, 0.0000, 0.0000)  4 Pb 3.54, 8 K 3.90
K (0.7500, 0.2500, 0.5000)  4 K 3.54, 4 Ca 3.90, 4 Pb 3.90
K (0.2500, 0.7500, 0.5000)  4 K 3.54, 4 Pb 3.90, 4 Ca 3.90
Pb (0.5000, 0.5000, 0.0000)  4 Ca 3.54, 8 K 3.90

Properties
SG ... No. 139

6.
VASP calculation (meta-GGA SCAN) on a PBEsol-optimized structure of KCa2Pb.

Lattice parameters (Å, degrees): 3.7261 6.7001 6.7001 112.98 101.32 101.32
Closest atoms and distances in Å follow each position.
Atoms (fractional coordinates):
Ca (0.0000, 0.0000, 0.5000)  2 K 3.50, 2 Pb 3.50, 4 Ca 3.70-3.73
Ca (0.0000, 0.5000, 0.0000)  2 Pb 3.50, 2 K 3.50, 4 Ca 3.70-3.73
K (0.5000, 0.5000, 0.5000)  4 Ca 3.50, 2 Pb 3.70, 2 K 3.73
Pb (0.5000, 0.0000, 0.0000)  4 Ca 3.50, 2 K 3.70, 2 Pb 3.73

Properties
SG ... No. 12

7.
VASP calculation (meta-GGA SCAN) on a PBEsol-optimized structure of KCaTcPb2.

Lattice parameters (Å, degrees): 5.4772 5.7080 5.7080 90.00 90.00 90.00
Closest atoms and distances in Å follow each position.
Atoms (fractional coordinates):
Pb (0.0000, 0.0000, 0.5000)  2 Ca 2.85
Pb (0.0000, 0.5000, 0.0000)  2 Ca 2.85
Ca (0.0000, 0.0000, 0.0000)  2 K 2.74, 4 Pb 2.85
K (0.5000, 0.0000, 0.0000)  2 Ca 2.74
Tc (0.5000, 0.5000, 0.5000)  8 Pb 3.96, 4 K 4.04

Properties
SG ... No. 123

8.
VASP calculation (meta-GGA SCAN) on a PBEsol-optimized structure of K2CaYPb.

Lattice parameters (Å, degrees): 5.9377 5.9377 6.0683 90.00 90.00 90.00
Closest atoms and distances in Å follow each position.
Atoms (fractional coordinates):
Pb (0.5000, 0.5000, 0.5000)  4 Y 4.20, 8 K 4.25
Y (0.0000, 0.0000, 0.5000)  2 Ca 3.03
Ca (0.0000, 0.0000, 0.0000)  4 K 2.97, 2 Y 3.03
K (0.0000, 0.5000, 0.0000)  2 Ca 2.97
K (0.5000, 0.0000, 0.0000)  2 Ca 2.97

Properties
SG ... No. 123

9.
VASP calculation (meta-GGA SCAN) on a PBEsol-optimized structure of KCa2Pd.

Lattice parameters (Å, degrees): 5.4094 5.4094 5.4094 60.00 60.00 60.00
Closest atoms and distances in Å follow each position.
Atoms (fractional coordinates):
Ca (0.2500, 0.2500, 0.2500)  4 K 3.31, 4 Pd 3.31
Ca (0.7500, 0.7500, 0.7500)  4 Pd 3.31, 4 K 3.31
K (0.0000, 0.0000, 0.0000)  8 Ca 3.31
Pd (0.5000, 0.5000, 0.5000)  8 Ca 3.31

Properties
SG ... No. 225

10.
VASP calculation (meta-GGA SCAN) on a PBEsol-optimized structure of K2Ca2Pd.

Lattice parameters (Å, degrees): 4.1591 4.1591 10.8511 101.05 101.05 90.00
Closest atoms and distances in Å follow each position.
Atoms (fractional coordinates):
Ca (0.4249, 0.4249, 0.8498)  1 Ca 3.14, 4 Pd 3.33
Ca (0.5751, 0.5751, 0.1502)  1 Ca 3.14, 4 Pd 3.33
K (0.2500, 0.7500, 0.5000)  4 K 2.94
K (0.7500, 0.2500, 0.5000)  4 K 2.94
Pd (0.0000, 0.0000, 0.0000)  8 Ca 3.33

Properties
SG ... No. 139

11.
VASP calculation (meta-GGA SCAN) on a PBEsol-optimized structure of KCa3Pd.

Lattice parameters (Å, degrees): 5.7222 5.7222 5.7222 90.00 90.00 90.00
Closest atoms and distances in Å follow each position.
Atoms (fractional coordinates):
Ca (0.0000, 0.5000, 0.0000)  2 Pd 2.86
Ca (0.0000, 0.0000, 0.5000)  2 Pd 2.86
Ca (0.5000, 0.0000, 0.0000)  2 Pd 2.86
K (0.5000, 0.5000, 0.5000)  12 Ca 4.05
Pd (0.0000, 0.0000, 0.0000)  6 Ca 2.86

Properties
SG ... No. 221

12.
VASP calculation (meta-GGA SCAN) on a PBEsol-optimized structure of KCaPt2.

Lattice parameters (Å, degrees): 3.0777 3.0777 8.7237 90.00 90.00 90.00
Closest atoms and distances in Å follow each position.
Atoms (fractional coordinates):
Ca (0.5000, 0.5000, 0.0000)  8 Pt 2.91, 4 Ca 3.08
K (0.5000, 0.5000, 0.5000)  4 K 3.08, 8 Pt 3.26
Pt (0.0000, 0.0000, 0.7787)  4 Ca 2.91, 4 Pt 3.08
Pt (0.0000, 0.0000, 0.2213)  4 Ca 2.91, 4 Pt 3.08

Properties
SG ... No. 123

In the order shown, the computed formation energy from the elements values come out to -318.3 -193.3 21.4 -40.4 -138.4 -66.0 1232.0 894.5 -38.0 386.8 -286.3 -404.0 meV per atom.
In the order shown, the computed DFT total energy values come out to -0.96201 -0.95741 -0.93726 -0.93953 -0.94313 -0.95273 -1.45861 -0.92221 -0.55659 -0.49115 -0.52570 -1.46992 Ha/atom.
In the order shown, the computed density of states at the Fermi level values come out to 0.7882 0.4406 0.9174 0.5665 0.5823 0.8679 0.8428 0.8090 0.4826 0.6659 0.6182 0.2354 states/eV/atom.